Entry 1:
# CaCu3Sn4O12 SCAN single point on PBEsol structure
# * E_form (uncorrected): -33.00 eV/f.u.
# * total magnetic moment: 6.0 μB/cell
# * D(E_F): 0.00 states/eV/f.u.
data_CaCu3Sn4O12
_chemical_formula_sum 'Ca2 Cu6 Sn8 O24'
_cell_length_a 7.6716
_cell_length_b 7.6716
_cell_length_c 7.6716
_cell_angle_alpha 90.00
_cell_angle_beta 90.00
_cell_angle_gamma 90.00
_space_group_name_H-M_alt 'I m -3'
_space_group_IT_number 204
_space_group_name_Hall '-I 2 2 3'
loop_
_atom_site_label
_atom_site_type_symbol
_atom_site_fract_x
_atom_site_fract_y
_atom_site_fract_z
Ca1 Ca 0.0000 0.0000 0.0000
Cu1 Cu 0.0000 0.0000 0.5000
Sn1 Sn 0.2500 0.2500 0.2500
O1 O 0.0000 0.3078 0.1688


Entry 2:
# RbNaSe2Br SCAN single point on PBEsol structure
# * E_form (uncorrected): -2.54 eV/f.u.
# * total magnetic moment: 3.0 μB/cell
# * D(E_F): 2.92 states/eV/f.u.
data_RbNaSe2Br
_chemical_formula_sum 'Rb1 Na1 Se2 Br1'
_cell_length_a 5.2368
_cell_length_b 5.2368
_cell_length_c 5.7230
_cell_angle_alpha 90.00
_cell_angle_beta 90.00
_cell_angle_gamma 90.00
_space_group_name_H-M_alt 'P 4/m m m'
_space_group_IT_number 123
_space_group_name_Hall '-P 4 2'
loop_
_atom_site_label
_atom_site_type_symbol
_atom_site_fract_x
_atom_site_fract_y
_atom_site_fract_z
Rb1 Rb 0.0000 0.0000 0.0000
Na1 Na 0.5000 0.5000 0.5000
Se1 Se 0.0000 0.5000 0.5000
Br1 Br 0.5000 0.5000 0.0000


Entry 3:
# MgIn2Se4 SCAN single point on PBEsol structure
# * E_form (uncorrected): -5.66 eV/f.u.
# * total magnetic moment: 0.0 μB/cell
# * D(E_F): 0.00 states/eV/f.u.
data_MgIn2Se4
_chemical_formula_sum 'Mg4 In8 Se16'
_cell_length_a 9.3738
_cell_length_b 9.3738
_cell_length_c 8.2929
_cell_angle_alpha 90.00
_cell_angle_beta 90.00
_cell_angle_gamma 90.00
_space_group_name_H-M_alt 'I -4 2 d'
_space_group_IT_number 122
_space_group_name_Hall 'I -4 2bw'
loop_
_atom_site_label
_atom_site_type_symbol
_atom_site_fract_x
_atom_site_fract_y
_atom_site_fract_z
Mg1 Mg 0.0000 0.0000 0.0000
In1 In 0.1075 0.2500 0.6250
Se1 Se 0.0021 0.7294 0.9122


Entry 4:
# KSr2Cd2 SCAN single point on PBEsol structure
# * total magnetic moment: 0.0 μB/cell
# * energy relative to the elements: -0.223 eV per atom
# * D(E_F): 3.45 states/eV/f.u.
data_KSr2Cd2
_chemical_formula_sum 'K2 Sr4 Cd4'
_cell_length_a 9.2082
_cell_length_b 9.2082
_cell_length_c 4.3665
_cell_angle_alpha 90.00
_cell_angle_beta 90.00
_cell_angle_gamma 90.00
_space_group_name_H-M_alt 'P 4/m b m'
_space_group_IT_number 127
_space_group_name_Hall '-P 4 2ab'
loop_
_atom_site_label
_atom_site_type_symbol
_atom_site_fract_x
_atom_site_fract_y
_atom_site_fract_z
K1 K 0.0000 0.0000 0.0000
Sr1 Sr 0.1621 0.3379 0.5000
Cd1 Cd 0.1236 0.6236 0.0000


Entry 5:
# Li2Br SCAN single point on PBEsol structure
# * E_form (uncorrected): -2.80 eV/f.u.
# * total magnetic moment: 0.0 μB/cell
# * D(E_F): 0.02 states/eV/f.u.
data_Li2Br
_chemical_formula_sum 'Li8 Br4'
_cell_length_a 13.0101
_cell_length_b 3.6224
_cell_length_c 6.2256
_cell_angle_alpha 90.00
_cell_angle_beta 116.43
_cell_angle_gamma 90.00
_space_group_name_H-M_alt 'C 1 m 1'
_space_group_IT_number 8
loop_
_space_group_symop_operation_xyz
'x,y,z'
'x,-y,z'
'x+1/2,y+1/2,z'
'x+1/2,-y+1/2,z'
loop_
_atom_site_label
_atom_site_type_symbol
_atom_site_fract_x
_atom_site_fract_y
_atom_site_fract_z
Li1 Li 0.0000 0.0000 0.0000
Li2 Li 0.0133 0.0000 0.4807
Li3 Li 0.2482 0.5000 0.7757
Li4 Li 0.2932 0.0000 0.2012
Br1 Br 0.1161 0.5000 0.3308
Br2 Br 0.4287 0.0000 0.6544


Entry 6:
# NaIn2Hg2 SCAN single point on PBEsol structure
# * total magnetic moment: 0.0 μB/cell
# * energy relative to the elements: -0.145 eV per atom
# * D(E_F): 2.10 states/eV/f.u.
data_NaIn2Hg2
_chemical_formula_sum 'Na2 In4 Hg4'
_cell_length_a 4.3968
_cell_length_b 4.3968
_cell_length_c 13.4342
_cell_angle_alpha 90.00
_cell_angle_beta 90.00
_cell_angle_gamma 90.00
_space_group_name_H-M_alt 'I 4/m m m'
_space_group_IT_number 139
_space_group_name_Hall '-I 4 2'
loop_
_atom_site_label
_atom_site_type_symbol
_atom_site_fract_x
_atom_site_fract_y
_atom_site_fract_z
Na1 Na 0.0000 0.0000 0.0000
In1 In 0.0000 0.5000 0.2500
Hg1 Hg 0.0000 0.0000 0.3980


What is the D(E_F) in the third record? 0.00 states/eV/f.u.